(1)
An optimized crystal structure of Hf3AgPb5. Source: OQMD, functional GGA-PBE.

Calculated values
* total magnetization: 0.006 μB/atom
* final energy: -48.4 eV per cell

Unit cell a=6.0261 b=6.0261 c=8.1787 alpha=90.00 beta=90.00 gamma=120.00
Space group P6/mmm (No. 191)
Unique sites:
Hf (0.0000, 0.5000, 0.0000) x3
Ag (0.0000, 0.0000, 0.5000) x1
Pb (0.0000, 0.0000, 0.0000) x1
Pb (0.3333, 0.6667, 0.3163) x4



(2)
An optimized crystal structure of Hf3Ag4Pb4. Source: OQMD, functional GGA-PBE.

Calculated values
* energy relative to the lowest polymorph listed for this composition: 0.066 eV/atom
* total magnetization: 0.000 μB/atom

Unit cell a=6.516 b=6.516 c=13.064 alpha=90.00 beta=90.00 gamma=90.00
Space group I-42m (No. 121)
Unique sites:
Hf (0.000, 0.000, 0.000) x2
Hf (0.000, 0.500, 0.250) x4
Ag (0.248, 0.248, 0.623) x8
Pb (0.000, 0.000, 0.253) x4
Pb (0.000, 0.500, 0.000) x4



Look up the total magnetization of the second one. 0.000 μB/atom